Below is TcMoF2 after structural relaxation, with properties calculated at the PBE+U level.

Unit cell a=3.6008 b=3.6008 c=8.3652 alpha=77.57 beta=77.57 gamma=90.00
With the nearest neighbours (Å) after each atom.
Fractional positions:
Mo (0.5000, 0.5000, 0.0000)  4 F 2.35, 4 Tc 2.55
Mo (0.2500, 0.7500, 0.5000)  4 F 2.35, 4 Tc 2.55
Tc (0.0000, 0.0000, 0.0000)  4 F 2.38, 4 Mo 2.55
Tc (0.7500, 0.2500, 0.5000)  4 F 2.38, 4 Mo 2.55
F (0.6143, 0.1250, 0.2500)  2 Mo 2.35, 2 Tc 2.38, 4 F 2.49-2.60
F (0.1357, 0.6250, 0.2500)  2 Mo 2.35, 2 Tc 2.38, 4 F 2.49-2.60
F (0.3750, 0.3857, 0.7500)  2 Mo 2.35, 2 Tc 2.38, 4 F 2.49-2.60
F (0.8750, 0.8643, 0.7500)  2 Mo 2.35, 2 Tc 2.38, 4 F 2.49-2.60

Total magnetization (μB per cell): 0.0
DOS(E_F) (states/eV/f.u.): 1.75
Offset from the most stable computed form (eV/atom): 0.283
Energy (eV/f.u.): -21.7
Calculated volume (Å³/atom): 12.915